Density functional theory data (GGA+U) for a relaxed structure of InNiBr2O.

Calculated values
DOS at the Fermi energy	0.62	states/eV/atom
space group	P4/mmm (123)
energy	-15.0	eV for the cell shown

a = 5.5499 Å, b = 5.5499 Å, c = 3.6555 Å
α = 90.00°, β = 90.00°, γ = 90.00°
Sites, in units of the cell vectors:
1 In 0.0000 0.0000 0.0000
2 Ni 0.5000 0.5000 0.5000
3 Br 0.0000 0.5000 0.5000
4 Br 0.5000 0.0000 0.5000
5 O 0.5000 0.5000 0.0000